Record 1
TcTeW2: relaxed, PBE.

Energy relative to the elements, uncorrected: 60.1 kJ per mole of atoms
D(E_F): 2.81 states/eV/f.u.
Energy relative to the lowest polymorph listed for this composition: 0.248 eV/atom
Crystal system: tetragonal

Cell and atoms, written as POSCAR:
```
TcTeW2
1.0
5.265 0.002 0.000
2.436 4.668 0.000
-3.850 -2.335 2.728
Tc W Te
1 2 1
direct
0.250 0.750 0.500 Tc
0.500 0.500 0.000 W
0.000 0.000 0.000 W
0.750 0.250 0.500 Te
```


Record 2
Tc2TeW: relaxed, PBE.

Energy relative to the elements, uncorrected: 47.7 kJ per mole of atoms
D(E_F): 4.26 states/eV/f.u.
Energy relative to the lowest polymorph listed for this composition: 0.272 eV/atom
Crystal system: orthorhombic

Cell and atoms, written as POSCAR:
```
Tc2TeW
1.0
5.300 -0.004 0.004
2.372 4.740 -0.004
-3.314 -3.214 2.604
W Tc Te
1 2 1
direct
0.250 0.750 0.500 W
0.985 0.985 0.000 Tc
0.515 0.515 0.000 Tc
0.750 0.250 0.500 Te
```


Record 3
Tc2TeW: relaxed, PBE.

Energy relative to the elements, uncorrected: 40.2 kJ per mole of atoms
D(E_F): 2.60 states/eV/f.u.
Energy relative to the lowest polymorph listed for this composition: 0.194 eV/atom
Crystal system: monoclinic

Cell and atoms, written as POSCAR:
```
Tc2TeW
1.0
-1.601 2.654 3.974
-4.072 1.426 2.605
-0.037 -3.386 3.102
W Te Tc
1 1 2
direct
0.739 0.739 0.792 W
0.501 0.501 0.485 Te
0.999 0.999 0.986 Tc
0.261 0.261 0.237 Tc
```


Record 4
TcTeW2: relaxed, PBE.

Energy relative to the elements, uncorrected: 67.4 kJ per mole of atoms
D(E_F): 3.50 states/eV/f.u.
Energy relative to the lowest polymorph listed for this composition: 0.324 eV/atom
Crystal system: orthorhombic

Cell and atoms, written as POSCAR:
```
TcTeW2
1.0
5.001 0.018 0.000
-2.239 4.472 0.000
0.000 0.000 3.049
W Te Tc
2 1 1
direct
0.500 0.500 0.000 W
0.000 0.000 0.000 W
0.000 0.500 0.500 Te
0.500 0.000 0.500 Tc
```


Record 5
Tc4TeW: relaxed, PBE.

Energy relative to the elements, uncorrected: 58.8 kJ per mole of atoms
D(E_F): 7.00 states/eV/f.u.
Crystal system: cubic

Cell and atoms, written as POSCAR:
```
Tc4TeW
1.0
0.000 3.669 3.669
3.669 0.000 3.669
3.669 3.669 0.000
W Tc Te
1 4 1
direct
0.000 0.000 0.000 W
0.875 0.375 0.375 Tc
0.375 0.875 0.375 Tc
0.375 0.375 0.375 Tc
0.375 0.375 0.875 Tc
0.750 0.750 0.750 Te
```


Record 6
TcTeW: relaxed, PBE.

Energy relative to the elements, uncorrected: 42.3 kJ per mole of atoms
D(E_F): 2.52 states/eV/f.u.
Energy relative to the lowest polymorph listed for this composition: 0.034 eV/atom
Crystal system: tetragonal

Cell and atoms, written as POSCAR:
```
TcTeW
1.0
5.952 -0.193 0.134
5.217 2.773 0.754
0.734 -0.444 2.997
Tc W Te
1 1 1
direct
0.016 0.016 0.984 Tc
0.650 0.650 0.350 W
0.334 0.334 0.666 Te
```


no.,density (g/cm3)
1,14.7
2,12.9
3,12.6
4,14.4
5,11.8
6,12.6